# 1
Compound: Dy2ZnGe2
Source: the Alexandria database
Functional: PBE-GGA
Structure: relaxed

Computed properties:
DOS at the Fermi energy	2.50	states/eV/f.u.
energy relative to the elements	-0.68	eV/atom
size of the total moment	0.00	Bohr magnetons per cell

Cell lengths 4.285, 5.799, 9.497 Å; angles 85.07, 76.96, 68.32 degrees
Fractional positions:
Ge 0.946 0.688 0.421
Dy 0.103 0.707 0.087
Dy 0.707 0.243 0.344
Dy 0.293 0.757 0.656
Dy 0.897 0.293 0.913
Ge 0.054 0.312 0.579
Zn 0.452 0.794 0.301
Ge 0.371 0.143 0.116
Zn 0.548 0.206 0.699
Ge 0.629 0.857 0.884

***

# 2
Compound: Ta2AlSi
Source: the Alexandria database
Functional: PBE-GGA
Structure: relaxed

Computed properties:
DOS at the Fermi energy	5.20	states/eV/f.u.
distance to the lowest polymorph of the same formula	0.276	eV per atom
size of the total moment	0.00	Bohr magnetons per cell

Cell lengths 4.510, 4.510, 3.186 Å; angles 90.00, 90.00, 90.00 degrees
Fractional positions:
Ta 0.000 0.000 0.000
Al 0.500 0.000 0.500
Si 0.000 0.500 0.500
Ta 0.500 0.500 0.000

***

# 3
Compound: HfBeAl2Cu4
Source: the Alexandria database
Functional: PBE-GGA
Structure: relaxed

Computed properties:
DOS at the Fermi energy	3.55	states/eV/f.u.
energy relative to the elements	-0.19	eV/atom
size of the total moment	0.00	Bohr magnetons per cell

Cell lengths 4.079, 4.079, 7.876 Å; angles 74.99, 74.99, 60.00 degrees
Fractional positions:
Cu 0.133 0.133 0.602
Cu 0.397 0.397 0.808
Al 0.754 0.754 0.739
Al 0.246 0.246 0.261
Hf 0.000 0.000 0.000
Be 0.500 0.500 0.500
Cu 0.867 0.867 0.398
Cu 0.603 0.603 0.192

***

# 4
Compound: Ho2SiSe
Source: the Alexandria database
Functional: PBE-GGA
Structure: relaxed

Computed properties:
DOS at the Fermi energy	0.91	states/eV/f.u.
distance to the lowest polymorph of the same formula	0.000	eV per atom
size of the total moment	0.00	Bohr magnetons per cell

Cell lengths 5.768, 5.768, 11.609 Å; angles 90.00, 90.00, 90.00 degrees
Fractional positions:
Si 0.250 0.000 0.375
Si 0.750 0.500 0.875
Ho 0.750 0.000 0.871
Se 0.250 0.500 0.625
Ho 0.750 0.500 0.121
Se 0.250 0.000 0.875
Ho 0.250 0.000 0.129
Si 0.750 0.000 0.625
Ho 0.250 0.500 0.371
Ho 0.750 0.000 0.379
Se 0.750 0.000 0.125
Se 0.750 0.500 0.375
Ho 0.250 0.000 0.621
Ho 0.250 0.500 0.879
Si 0.250 0.500 0.125
Ho 0.750 0.500 0.629

***

# 5
Compound: BaH5N2
Source: the Alexandria database
Functional: PBE-GGA
Structure: relaxed

Computed properties:
DOS at the Fermi energy	1.74	states/eV/f.u.
VASP energy	-4.626	eV per atom
size of the total moment	0.18	Bohr magnetons per cell

Cell lengths 5.808, 4.907, 4.907 Å; angles 66.95, 53.71, 53.71 degrees
Fractional positions:
H 0.333 0.014 0.319
N 0.775 0.725 0.725
H 0.000 0.500 0.500
H 0.667 0.681 0.986
H 0.333 0.319 0.014
N 0.225 0.275 0.275
H 0.667 0.986 0.681
Ba 0.000 0.000 0.000

***

# 6
Compound: CsCd2In
Source: the Alexandria database
Functional: PBE-GGA
Structure: relaxed

Computed properties:
DOS at the Fermi energy	2.36	states/eV/f.u.
energy relative to the elements	0.05	eV/atom
size of the total moment	0.00	Bohr magnetons per cell

Cell lengths 6.172, 6.172, 10.573 Å; angles 73.03, 73.03, 90.00 degrees
Fractional positions:
In 0.500 0.500 0.000
In 0.250 0.750 0.500
Cd 0.875 0.626 0.750
Cs 0.000 0.000 0.000
Cd 0.374 0.625 0.250
Cd 0.376 0.125 0.250
Cs 0.750 0.250 0.500
Cd 0.375 0.624 0.750